# KRu4Cl (PBE, optimized geometry)
data_KRu4Cl
_space_group_name_H-M_alt 'F -4 3 m'
_space_group_IT_number 216
_space_group_name_Hall 'F -4 2 3'
_cell_length_a 7.6349
_cell_length_b 7.6349
_cell_length_c 7.6349
_cell_angle_alpha 90.00
_cell_angle_beta 90.00
_cell_angle_gamma 90.00
loop_
_atom_site_label
_atom_site_type_symbol
_atom_site_fract_x
_atom_site_fract_y
_atom_site_fract_z
K1 K 0.0000 0.0000 0.0000
Ru1 Ru 0.1241 0.1241 0.6241
Cl1 Cl 0.2500 0.2500 0.2500
# **Theoretical density**: 7.146 g/cm3
# **Electronic total energy**: -131.8 eV per cell
# **Total moment**: 0.962 μB per atom

***

# KRuCl3 (PBE, optimized geometry)
data_KRuCl3
_space_group_name_H-M_alt 'P m -3 m'
_space_group_IT_number 221
_space_group_name_Hall '-P 4 2 3'
_cell_length_a 4.9358
_cell_length_b 4.9358
_cell_length_c 4.9358
_cell_angle_alpha 90.00
_cell_angle_beta 90.00
_cell_angle_gamma 90.00
loop_
_atom_site_label
_atom_site_type_symbol
_atom_site_fract_x
_atom_site_fract_y
_atom_site_fract_z
K1 K 0.0000 0.0000 0.0000
Ru1 Ru 0.5000 0.5000 0.5000
Cl1 Cl 0.0000 0.5000 0.5000
# **Theoretical density**: 3.404 g/cm3
# **Electronic total energy**: -20.0 eV per cell
# **Total moment**: 0.325 μB per atom

***

For each record above, in turn, the calculated V values are 18.544, 24.049 Å³/atom.